# 1
Below is DyHgH after structural relaxation, with properties calculated at the PBE-GGA level.

Output
**Crystal system**: tetragonal
**Uncorrected energy**: -8.72 eV/cell
**Total magnetic moment**: 0.30 μB/f.u.
**Calculated density**: 10.5 Mg/m³
**DOS(E_F)**: 2.41 states/eV/f.u.

Lattice parameters (Å, degrees): 3.2300 3.2300 5.9844 105.66 105.66 90.00
Last column: nearest neighbours and their distance in Å.
Fractional coordinates of all 3 atoms:
H (0.2664, 0.2664, 0.5327)  4 Dy 2.33
Hg (0.0081, 0.0081, 0.0161)  1 H 2.86, 1 Dy 3.12
Dy (0.7256, 0.7256, 0.4512)  4 H 2.33

# 2
Below is Dy12Hg3H5 after structural relaxation, with properties calculated at the PBE-GGA level.

Output
**Crystal system**: cubic
**Uncorrected energy**: -312.98 eV/cell
**Total magnetic moment**: 0.00 μB/f.u.
**Calculated density**: 9.1 Mg/m³
**DOS(E_F)**: 17.20 states/eV/f.u.

Lattice parameters (Å, degrees): 13.4139 13.4139 13.4139 109.47 109.47 109.47
Last column: nearest neighbours and their distance in Å.
Fractional coordinates of all 80 atoms:
Hg (0.7500, 0.3750, 0.1250)  8 Dy 3.12-3.13
Hg (0.8750, 0.7500, 0.1250)  8 Dy 3.12-3.13
Hg (0.3750, 0.7500, 0.6250)  8 Dy 3.12-3.13
Hg (0.2500, 0.1250, 0.3750)  8 Dy 3.12-3.13
Hg (0.8750, 0.1250, 0.2500)  8 Dy 3.12-3.13
Hg (0.3750, 0.6250, 0.2500)  8 Dy 3.12-3.13
Hg (0.6250, 0.3750, 0.7500)  8 Dy 3.12-3.13
Hg (0.1250, 0.8750, 0.7500)  8 Dy 3.12-3.13
Hg (0.7500, 0.8750, 0.6250)  8 Dy 3.12-3.13
Hg (0.6250, 0.2500, 0.3750)  8 Dy 3.12-3.13
Hg (0.1250, 0.2500, 0.8750)  8 Dy 3.12-3.13
Hg (0.2500, 0.6250, 0.8750)  8 Dy 3.12-3.13
H (0.1250, 0.3750, 0.2500)  4 Dy 2.17
H (0.0000, 0.5000, 0.0000)  6 Dy 2.57
H (0.0000, 0.0000, 0.0000)  6 Dy 2.57
H (0.3750, 0.2500, 0.1250)  4 Dy 2.17
H (0.5000, 0.0000, 0.5000)  6 Dy 2.57
H (0.5000, 0.5000, 0.0000)  6 Dy 2.57
H (0.1250, 0.7500, 0.3750)  4 Dy 2.17
H (0.7500, 0.1250, 0.8750)  4 Dy 2.17
H (0.7500, 0.6250, 0.3750)  4 Dy 2.17
H (0.3750, 0.1250, 0.7500)  4 Dy 2.17
H (0.6250, 0.8750, 0.2500)  4 Dy 2.17
H (0.5000, 0.5000, 0.5000)  6 Dy 2.57
H (0.5000, 0.0000, 0.0000)  6 Dy 2.57
H (0.0000, 0.0000, 0.5000)  6 Dy 2.57
H (0.2500, 0.3750, 0.6250)  4 Dy 2.17
H (0.2500, 0.8750, 0.1250)  4 Dy 2.17
H (0.0000, 0.5000, 0.5000)  6 Dy 2.57
H (0.8750, 0.2500, 0.6250)  4 Dy 2.17
H (0.6250, 0.7500, 0.8750)  4 Dy 2.17
H (0.8750, 0.6250, 0.7500)  4 Dy 2.17
Dy (0.7059, 0.1090, 0.0128)  1 H 2.17
Dy (0.3069, 0.5128, 0.4038)  1 H 2.17
Dy (0.9872, 0.3910, 0.2941)  1 H 2.17
Dy (0.5128, 0.2059, 0.1090)  1 H 2.17
Dy (0.5969, 0.7059, 0.6931)  1 H 2.17
Dy (0.9872, 0.5962, 0.1931)  1 H 2.17
Dy (0.3069, 0.7941, 0.4031)  1 H 2.17
Dy (0.0962, 0.9031, 0.1090)  1 H 2.17
Dy (0.5962, 0.9872, 0.6931)  1 H 2.17
Dy (0.7059, 0.5969, 0.1931)  1 H 2.17
Dy (0.7941, 0.4872, 0.3910)  1 H 2.17
Dy (0.8069, 0.9038, 0.0128)  1 H 2.17
Dy (0.1090, 0.7059, 0.5128)  1 H 2.17
Dy (0.3910, 0.4038, 0.0969)  1 H 2.17
Dy (0.0969, 0.9038, 0.3910)  1 H 2.17
Dy (0.4031, 0.1090, 0.5962)  1 H 2.17
Dy (0.0969, 0.1931, 0.2059)  1 H 2.17
Dy (0.4872, 0.6931, 0.0962)  1 H 2.17
Dy (0.8069, 0.9031, 0.2941)  1 H 2.17
Dy (0.1090, 0.4031, 0.0962)  1 H 2.17
Dy (0.3910, 0.9872, 0.7941)  1 H 2.17
Dy (0.5962, 0.6090, 0.4031)  1 H 2.17
Dy (0.9038, 0.8069, 0.5128)  1 H 2.17
Dy (0.7941, 0.3069, 0.9031)  1 H 2.17
Dy (0.4038, 0.3910, 0.5969)  1 H 2.17
Dy (0.0962, 0.1931, 0.4872)  1 H 2.17
Dy (0.2059, 0.6931, 0.0969)  1 H 2.17
Dy (0.1931, 0.0969, 0.7059)  1 H 2.17
Dy (0.6090, 0.0128, 0.2059)  1 H 2.17
Dy (0.8910, 0.5969, 0.9038)  1 H 2.17
Dy (0.5128, 0.3069, 0.9038)  1 H 2.17
Dy (0.5969, 0.8910, 0.4038)  1 H 2.17
Dy (0.9031, 0.8069, 0.7941)  1 H 2.17
Dy (0.9031, 0.0962, 0.6090)  1 H 2.17
Dy (0.8910, 0.2941, 0.4872)  1 H 2.17
Dy (0.1931, 0.0962, 0.9872)  1 H 2.17
Dy (0.6090, 0.5962, 0.9031)  1 H 2.17
Dy (0.4038, 0.0128, 0.3069)  1 H 2.17
Dy (0.2941, 0.4031, 0.8069)  1 H 2.17
Dy (0.2059, 0.5128, 0.6090)  1 H 2.17
Dy (0.9038, 0.0969, 0.8910)  1 H 2.17
Dy (0.6931, 0.2059, 0.5969)  1 H 2.17
Dy (0.4872, 0.7941, 0.8910)  1 H 2.17
Dy (0.0128, 0.4038, 0.8069)  1 H 2.17
Dy (0.4031, 0.2941, 0.3069)  1 H 2.17
Dy (0.0128, 0.6090, 0.7059)  1 H 2.17
Dy (0.6931, 0.4872, 0.5962)  1 H 2.17
Dy (0.2941, 0.8910, 0.9872)  1 H 2.17